(1)
# Sr2CdNi GGA-PBE optimized geometry
data_Sr2CdNi
_chemical_formula_sum 'Sr2 Cd1 Ni1'
_cell_length_a 6.6778
_cell_length_b 6.6778
_cell_length_c 5.3287
_cell_angle_alpha 113.43
_cell_angle_beta 113.43
_cell_angle_gamma 32.89
_symmetry_space_group_name_H-M 'P 1'
_symmetry_Int_Tables_number 1
loop_
_symmetry_equiv_pos_as_xyz
'x,y,z'
loop_
_atom_site_label
_atom_site_type_symbol
_atom_site_fract_x
_atom_site_fract_y
_atom_site_fract_z
Sr1 Sr 0.0000 0.0000 0.0000
Sr2 Sr 0.2012 0.2012 0.7006
Cd1 Cd 0.8089 0.8089 0.3082
Ni1 Ni 0.4712 0.4712 0.4726
# - SG: Cm, No. 8
# - ΔH_f (0 K): -0.010 eV/atom


(2)
# SrCd2Ni GGA-PBE optimized geometry
data_SrCd2Ni
_chemical_formula_sum 'Sr1 Cd2 Ni1'
_cell_length_a 6.2885
_cell_length_b 6.2885
_cell_length_c 4.0800
_cell_angle_alpha 107.85
_cell_angle_beta 107.85
_cell_angle_gamma 124.11
_symmetry_space_group_name_H-M 'P 1'
_symmetry_Int_Tables_number 1
loop_
_symmetry_equiv_pos_as_xyz
'x,y,z'
loop_
_atom_site_label
_atom_site_type_symbol
_atom_site_fract_x
_atom_site_fract_y
_atom_site_fract_z
Sr1 Sr 0.0000 0.0000 0.0000
Cd1 Cd 0.0000 0.5000 0.5000
Cd2 Cd 0.5000 0.0000 0.5000
Ni1 Ni 0.5000 0.5000 0.0000
# - SG: C2/m, No. 12
# - ΔH_f (0 K): 0.225 eV/atom